1.
The following is a PBE calculation of a relaxed structure of Nd6Y2ErTm3, from the Alexandria database.

The value obtained for the energy of formation from the pure elements is 0.013 eV per atom. The value obtained for the density is 7.25 g cm⁻³.

Lattice parameters (Å, degrees): 6.2577 10.8357 11.7934 90.00 100.16 90.00
Space group C2/m (No. 12)
Inequivalent atoms, fractional coordinates:
Nd 0.2484 0.0000 0.2480 x4
Nd 0.2503 0.1662 0.7519 x8
Y 0.0000 0.3334 0.5000 x4
Er 0.0000 0.0000 0.5000 x2
Tm 0.0000 0.1666 0.0000 x4
Tm 0.0000 0.5000 0.0000 x2

2.
The following is a PBE calculation of a relaxed structure of BeIn, from the Alexandria database.

The value obtained for the energy of formation from the pure elements is 0.627 eV per atom. The value obtained for the density is 5.96 g cm⁻³.

Lattice parameters (Å, degrees): 2.9685 2.9685 3.9148 90.00 90.00 90.00
Space group P4/mmm (No. 123)
Inequivalent atoms, fractional coordinates:
Be 0.0000 0.0000 0.0000 x1
In 0.5000 0.5000 0.5000 x1

3.
The following is a PBE calculation of a relaxed structure of CaLa2Cd, from the Alexandria database.

The value obtained for the energy of formation from the pure elements is -0.074 eV per atom. The value obtained for the density is 5.48 g cm⁻³.

Lattice parameters (Å, degrees): 5.0591 5.0591 10.1955 90.00 90.00 90.00
Space group I4/mmm (No. 139)
Inequivalent atoms, fractional coordinates:
Ca 0.0000 0.0000 0.0000 x2
La 0.0000 0.5000 0.2500 x4
Cd 0.0000 0.0000 0.5000 x2

4.
The following is a PBE calculation of a relaxed structure of CsNpCl2O3, from the Alexandria database.

As for the raw formation energy: -2.124 eV/atom. The value obtained for the density is 4.43 g cm⁻³.

Lattice parameters (Å, degrees): 7.8981 8.8292 13.1308 90.00 126.84 90.00
Space group P2_1/c (No. 14)
Inequivalent atoms, fractional coordinates:
Cs 0.0548 0.1124 0.3040 x4
Np 0.4207 0.6199 0.6705 x4
Cl 0.3570 0.1929 0.1084 x4
Cl 0.3565 0.5677 0.1048 x4
O 0.2089 0.6215 0.6875 x4
O 0.2431 0.6205 0.4926 x4
O 0.3339 0.1197 0.8127 x4